[1]
DFT (GGA-PBE) results for Ba3PrH after structural relaxation.

```
Ba3PrH
1.0
5.853 0.000 0.000
0.000 5.853 0.000
0.000 0.000 5.853
Ba Pr H
3 1 1
direct
0.000 0.000 0.500
0.000 0.500 0.000
0.500 0.000 0.000
0.500 0.500 0.500
0.000 0.000 0.000
```

Output
The value obtained for the total magnetic moment is 0.01 μB per formula unit. The calculation puts the density of states at the Fermi level at 6.29 states/eV per cell. Its final energy is -13.91 eV for the cell shown. As for the space group: Pm-3m, No. 221.



[2]
DFT (GGA-PBE) results for Ac5LaPm4 after structural relaxation.

```
Ac5LaPm4
1.0
3.889 0.000 0.000
0.000 3.889 0.000
0.000 0.000 26.280
Ac La Pm
5 1 4
direct
0.000 0.000 0.000
0.000 0.000 0.198
0.000 0.000 0.397
0.000 0.000 0.603
0.000 0.000 0.802
0.500 0.500 0.500
0.500 0.500 0.099
0.500 0.500 0.297
0.500 0.500 0.703
0.500 0.500 0.901
```

Output
The value obtained for the formation energy from the elements is 0.032 eV/atom. The value obtained for the total magnetic moment is 0.00 μB per formula unit. The calculation puts the density of states at the Fermi level at 18.00 states/eV per cell. As for the space group: P4/mmm, No. 123.